Pu2P7Rh12 | GGA-PBE | optimized geometry

Results
Density of states at the Fermi level = 32.3 states/eV per cell
Calculated density = 10.4 g cm⁻³
Formation energy from the elements = -0.827 eV per atom
Magnetic moment = 10.55 Bohr magnetons per cell

a b c (Å): 3.8910 9.5974 9.5974
angles (deg): 120.00 90.00 90.00
Atoms (fractional coordinates):
Rh1 0.2493 0.1076 0.2596
Rh2 0.2493 0.6172 0.0623
Rh3 0.7507 0.2596 0.1519
Rh4 0.7507 0.0623 0.4451
Rh5 0.7507 0.8481 0.1076
Rh6 0.7507 0.3828 0.9377
Rh7 0.2493 0.4451 0.3828
Rh8 0.7507 0.8924 0.7404
Rh9 0.2493 0.1519 0.8924
Rh10 0.2493 0.7404 0.8481
Rh11 0.2493 0.9377 0.5549
Rh12 0.7507 0.5549 0.6172
P1 0.2453 0.8798 0.2863
P2 0.7547 0.1202 0.7137
P3 0.2453 0.4065 0.1202
P4 0.2453 0.7137 0.5935
P5 0.7547 0.5935 0.8798
P6 0.5000 0.0000 0.0000
P7 0.7547 0.2863 0.4065
Pu1 0.7480 0.6667 0.3333
Pu2 0.2520 0.3333 0.6667

Pu3P3Rh | GGA-PBE | optimized geometry

Results
Density of states at the Fermi level = 54.5 states/eV per cell
Calculated density = 9.8 g cm⁻³
Formation energy from the elements = -0.854 eV per atom
Magnetic moment = 10.05 Bohr magnetons per cell

a b c (Å): 5.5496 8.0662 8.0478
angles (deg): 119.09 90.01 89.91
Atoms (fractional coordinates):
Rh1 0.2491 0.6666 0.3319
Rh2 0.7509 0.3334 0.6681
Pu1 0.2495 0.0860 0.6897
Pu2 0.7495 0.3854 0.0790
Pu3 0.7505 0.9140 0.3103
Pu4 0.2505 0.6146 0.9210
Pu5 0.2500 0.3136 0.3995
Pu6 0.7500 0.6864 0.6005
P1 0.7495 0.0699 0.7150
P2 0.2505 0.9301 0.2850
P3 0.2499 0.7197 0.6426
P4 0.2494 0.3591 0.0746
P5 0.7501 0.2803 0.3575
P6 0.7506 0.6409 0.9254